No. 1
Computed, not measured: crystalline LaPrNi2Pb4 at its relaxed geometry at the GGA-PBE level of DFT.

Cell lengths 4.7761, 9.6276, 9.6276 Å; angles 27.71, 90.00, 90.00 degrees
With the nearest neighbours (Å) after each atom.
Sites, in units of the cell vectors:
La 0.0000 0.0000 0.0000  10 Pb 3.44-3.77, 5 Ni 3.58-3.85
Pr 0.5000 0.2224 0.2224  10 Pb 3.43-3.75, 4 Ni 3.58
Ni 0.0000 0.7942 0.7942  5 Pb 2.52-2.67
Ni 0.5000 0.4286 0.4286  5 Pb 2.53-2.68
Pb 0.0000 0.3633 0.3633  4 Ni 2.64-2.68
Pb 0.0000 0.6596 0.6596  1 Ni 2.52
Pb 0.5000 0.5640 0.5640  1 Ni 2.53
Pb 0.5000 0.8585 0.8585  4 Ni 2.65-2.67

Calculated values
crystal system	orthorhombic
space group	Amm2
E_tot	-38.2	eV for the cell shown
mass density	9.9	g cm⁻³

No. 2
Computed, not measured: crystalline Dy3Y3Te2Os at its relaxed geometry at the GGA-PBE level of DFT.

Cell lengths 8.3112, 8.3112, 4.0480 Å; angles 90.00, 90.00, 120.00 degrees
With the nearest neighbours (Å) after each atom.
Sites, in units of the cell vectors:
Dy 0.0000 0.7608 0.0000  2 Os 2.84
Dy 0.2392 0.2392 0.0000  2 Os 2.84
Dy 0.7608 0.0000 0.0000  2 Os 2.84
Y 0.0000 0.3919 0.5000  1 Os 3.26, 4 Te 3.27, 4 Dy 3.49
Y 0.3919 0.0000 0.5000  1 Os 3.26, 4 Te 3.27, 4 Dy 3.49
Y 0.6081 0.6081 0.5000  1 Os 3.26, 4 Te 3.27, 4 Dy 3.49
Te 0.3333 0.6667 0.0000  3 Dy 3.23, 6 Y 3.27
Te 0.6667 0.3333 0.0000  3 Dy 3.23, 6 Y 3.27
Os 0.0000 0.0000 0.5000  6 Dy 2.84

Calculated values
crystal system	hexagonal
space group	P-62m
E_tot	-57.3	eV for the cell shown
mass density	8.2	g cm⁻³

No. 3
Computed, not measured: crystalline Zr4CdCu at its relaxed geometry at the GGA-PBE level of DFT.

Cell lengths 3.1803, 3.1803, 12.3900 Å; angles 90.00, 90.00, 90.00 degrees
With the nearest neighbours (Å) after each atom.
Sites, in units of the cell vectors:
Zr 0.0000 0.0000 0.1408  4 Cu 2.85, 8 Zr 3.15-3.18
Zr 0.0000 0.0000 0.8592  4 Cu 2.85, 8 Zr 3.15-3.18
Zr 0.5000 0.5000 0.3189  8 Zr 3.15-3.18, 4 Cd 3.18
Zr 0.5000 0.5000 0.6811  8 Zr 3.15-3.18, 4 Cd 3.18
Cd 0.0000 0.0000 0.5000  8 Zr 3.18, 4 Cd 3.18
Cu 0.5000 0.5000 0.0000  8 Zr 2.85, 4 Cu 3.18

Calculated values
crystal system	tetragonal
space group	P4/mmm
formation energy from the elements	-0.128	eV/atom
mass density	7.2	g cm⁻³

No. 4
Computed, not measured: crystalline Dy2Y3ScCuTe2 at its relaxed geometry at the GGA-PBE level of DFT.

Cell lengths 3.9509, 8.2469, 8.2469 Å; angles 119.37, 90.00, 90.00 degrees
With the nearest neighbours (Å) after each atom.
Sites, in units of the cell vectors:
Dy 0.0000 0.1197 0.8803  2 Cu 2.84
Dy 0.0000 0.8803 0.1197  2 Cu 2.84
Y 0.5000 0.2871 0.2871  4 Te 3.16, 2 Sc 3.52, 1 Cu 3.52, 4 Dy 3.54
Y 0.5000 0.4806 0.8777  4 Te 3.21-3.25, 1 Cu 3.22, 2 Sc 3.47, 4 Dy 3.51-3.58
Y 0.5000 0.8777 0.4806  4 Te 3.21-3.25, 1 Cu 3.22, 2 Sc 3.47, 4 Dy 3.51-3.58
Sc 0.0000 0.6364 0.6364  2 Cu 2.74
Cu 0.5000 0.8643 0.8643  2 Sc 2.74, 4 Dy 2.84
Te 0.0000 0.2169 0.5461  1 Sc 3.16, 6 Y 3.16-3.25, 2 Dy 3.23-3.24
Te 0.0000 0.5461 0.2169  1 Sc 3.16, 6 Y 3.16-3.25, 2 Dy 3.23-3.24

Calculated values
crystal system	orthorhombic
space group	Amm2
E_tot	-50.9	eV for the cell shown
mass density	6.8	g cm⁻³

No. 5
Computed, not measured: crystalline Li4GaSiNi2 at its relaxed geometry at the GGA-PBE level of DFT.

Cell lengths 4.0777, 4.0777, 5.7460 Å; angles 90.00, 90.00, 90.00 degrees
With the nearest neighbours (Å) after each atom.
Sites, in units of the cell vectors:
Li 0.0000 0.0000 0.0000  4 Ni 2.44, 4 Li 2.48
Li 0.0000 0.5000 0.2467  4 Li 2.48-2.50, 2 Si 2.48, 2 Ga 2.50, 1 Ni 2.75
Li 0.5000 0.0000 0.7533  4 Li 2.48-2.50, 2 Si 2.48, 2 Ga 2.50, 1 Ni 2.75
Li 0.5000 0.5000 0.5000  4 Li 2.50, 4 Ni 2.55
Ga 0.0000 0.0000 0.5000  4 Li 2.50, 4 Ni 2.55
Si 0.5000 0.5000 0.0000  4 Ni 2.44, 4 Li 2.48
Ni 0.0000 0.5000 0.7678  4 Li 2.44-2.55, 2 Si 2.44, 2 Ga 2.55
Ni 0.5000 0.0000 0.2322  4 Li 2.44-2.55, 2 Si 2.44, 2 Ga 2.55

Calculated values
crystal system	tetragonal
space group	P-4m2
E_tot	-29.9	eV for the cell shown
mass density	4.2	g cm⁻³

No. 6
Computed, not measured: crystalline GeW at its relaxed geometry at the GGA-PBE level of DFT.

Cell lengths 3.6446, 3.6446, 3.6446 Å; angles 60.00, 60.00, 60.00 degrees
With the nearest neighbours (Å) after each atom.
Sites, in units of the cell vectors:
Ge 0.0000 0.0000 0.0000  6 W 2.58
W 0.5000 0.5000 0.5000  6 Ge 2.58

Calculated values
crystal system	cubic
space group	Fm-3m
E_tot	-15.9	eV for the cell shown
mass density	12.4	g cm⁻³

No. 7
Computed, not measured: crystalline TlInPd at its relaxed geometry at the GGA-PBE level of DFT.

Cell lengths 4.7149, 4.7149, 4.7149 Å; angles 60.00, 60.00, 60.00 degrees
With the nearest neighbours (Å) after each atom.
Sites, in units of the cell vectors:
Tl 0.0000 0.0000 0.0000  4 In 2.89, 4 Pd 2.89
In 0.7500 0.7500 0.7500  4 Tl 2.89
Pd 0.2500 0.2500 0.2500  4 Tl 2.89

Calculated values
crystal system	cubic
space group	F-43m
E_tot	-9.8	eV for the cell shown
mass density	9.5	g cm⁻³

No. 8
Computed, not measured: crystalline ZnFeCuW at its relaxed geometry at the GGA-PBE level of DFT.

Cell lengths 4.2155, 4.2155, 4.2155 Å; angles 60.00, 60.00, 60.00 degrees
With the nearest neighbours (Å) after each atom.
Sites, in units of the cell vectors:
Zn 0.0000 0.0000 0.0000  4 W 2.58, 4 Fe 2.58
Fe 0.2500 0.2500 0.2500  4 Cu 2.58, 4 Zn 2.58
Cu 0.5000 0.5000 0.5000  4 Fe 2.58, 4 W 2.58
W 0.7500 0.7500 0.7500  4 Cu 2.58, 4 Zn 2.58

Calculated values
crystal system	cubic
space group	F-43m
formation energy from the elements	0.470	eV/atom
mass density	11.6	g cm⁻³